Density functional theory data (PBE) for a geometry-optimized AcHoUO6 structure.

Calculated values
The value obtained for the raw formation energy is -3.399 eV/atom. The symmetry is P-31c. As for the density of states at the Fermi level: 0.0 states/eV/f.u. Its volume is 16.93 Å³ per atom.

abc: 5.8508 5.8508 10.2793
angles: 90.00 90.00 120.00
Fractional positions:
O 0.3504 0.3712 0.8583
O 0.6496 0.0209 0.3583
O 0.6288 0.6496 0.6417
O 0.3712 0.0209 0.1417
O 0.6496 0.6288 0.1417
O 0.9791 0.3504 0.1417
O 0.6288 0.9791 0.8583
O 0.0209 0.6496 0.8583
O 0.3712 0.3504 0.3583
O 0.0209 0.3712 0.6417
O 0.9791 0.6288 0.3583
O 0.3504 0.9791 0.6417
Ho 0.6667 0.3333 0.7500
Ho 0.3333 0.6667 0.2500
U 0.3333 0.6667 0.7500
U 0.6667 0.3333 0.2500
Ac 0.0000 0.0000 0.0000
Ac 0.0000 0.0000 0.5000